Compound: K2MgAg2Cl6
Source: Alexandria via LeMat-Bulk
Functional: PBE
Structure: relaxed

The space group is R-3m (No. 166, hexagonal axes) and the conventional cell measures 7.7251, 7.7251 and 19.0432 Å, with angles of 90.00, 90.00 and 120.00 degrees. The distinct sites, in fractional coordinates, are K at (0.0000, 0.0000, 0.2161), Mg at (0.0000, 0.0000, 0.0000), Ag at (0.0000, 0.0000, 0.4198) and Cl at (0.0384, 0.5192, 0.7496).

The value obtained for the density of states at the Fermi level is 0.00 states/eV per atom. For the energy relative to the elements, uncorrected, the calculation gives -1317 meV/atom.



Compound: K2MgAgCl5
Source: Alexandria via LeMat-Bulk
Functional: PBE
Structure: relaxed

The space group is Cmc2_1 (No. 36) and the conventional cell measures 4.140, 18.648 and 12.892 Å, with angles of 90.00, 90.00 and 90.00 degrees. The distinct sites, in fractional coordinates, are K at (0.000, 0.125, 0.000), K at (0.000, 0.130, 0.636), Mg at (0.000, 0.433, 0.763), Ag at (0.000, 0.228, 0.354), Cl at (0.000, 0.043, 0.352), Cl at (0.000, 0.299, 0.977), Cl at (0.000, 0.315, 0.698), Cl at (0.000, 0.365, 0.320) and Cl at (0.000, 0.494, 0.604).

The value obtained for the density of states at the Fermi level is 0.00 states/eV per atom. For the energy relative to the elements, uncorrected, the calculation gives -1568 meV/atom.



Compound: K3Mg2AgCl9
Source: Alexandria via LeMat-Bulk
Functional: PBE
Structure: relaxed

The space group is P-3m1 (No. 164) and the conventional cell measures 7.1565, 7.1565 and 8.8547 Å, with angles of 90.00, 90.00 and 120.00 degrees. The distinct sites, in fractional coordinates, are K at (0.0000, 0.0000, 0.0000), K at (0.3333, 0.6667, 0.6560), Mg at (0.3333, 0.6667, 0.1582), Ag at (0.0000, 0.0000, 0.5000), Cl at (0.0000, 0.5000, 0.0000) and Cl at (0.1720, 0.3439, 0.3310).

The value obtained for the density of states at the Fermi level is 0.42 states/eV per atom. For the energy relative to the elements, uncorrected, the calculation gives -1555 meV/atom.



Compound: KMgAg2Cl6
Source: Alexandria via LeMat-Bulk
Functional: PBE
Structure: relaxed

The space group is C2/c (No. 15) and the conventional cell measures 11.706, 14.993 and 8.032 Å, with angles of 90.00, 117.02 and 90.00 degrees. The distinct sites, in fractional coordinates, are K at (0.000, 0.110, 0.250), Mg at (0.000, 0.183, 0.750), Ag at (0.123, 0.417, 0.149), Cl at (0.106, 0.247, 0.048), Cl at (0.120, 0.430, 0.485) and Cl at (0.132, 0.076, 0.694).

The value obtained for the density of states at the Fermi level is 0.65 states/eV per atom. For the energy relative to the elements, uncorrected, the calculation gives -1107 meV/atom.



Compound: KMnAgCl5
Source: Alexandria via LeMat-Bulk
Functional: PBE
Structure: relaxed

The space group is C2/c (No. 15) and the conventional cell measures 8.435, 12.835 and 9.198 Å, with angles of 90.00, 111.14 and 90.00 degrees. The distinct sites, in fractional coordinates, are K at (0.000, 0.175, 0.250), Mn at (0.000, 0.159, 0.750), Ag at (0.000, 0.500, 0.000), Cl at (0.000, 0.425, 0.250), Cl at (0.080, 0.271, 0.600) and Cl at (0.161, 0.047, 0.931).

The value obtained for the density of states at the Fermi level is 0.17 states/eV per atom. For the energy relative to the elements, uncorrected, the calculation gives -1072 meV/atom.



Compound: K3MnAg2Cl9
Source: Alexandria via LeMat-Bulk
Functional: PBE
Structure: relaxed

The space group is P-3m1 (No. 164) and the conventional cell measures 7.2144, 7.2144 and 8.8011 Å, with angles of 90.00, 90.00 and 120.00 degrees. The distinct sites, in fractional coordinates, are K at (0.0000, 0.0000, 0.0000), K at (0.3333, 0.6667, 0.7016), Mn at (0.0000, 0.0000, 0.5000), Ag at (0.3333, 0.6667, 0.1750), Cl at (0.0000, 0.5000, 0.0000) and Cl at (0.1553, 0.3106, 0.3452).

The value obtained for the density of states at the Fermi level is 0.34 states/eV per atom. For the energy relative to the elements, uncorrected, the calculation gives -1194 meV/atom.



Compound: K2MnAgCl5
Source: Alexandria via LeMat-Bulk
Functional: PBE
Structure: relaxed

The space group is Cmc2_1 (No. 36) and the conventional cell measures 4.143, 18.840 and 12.790 Å, with angles of 90.00, 90.00 and 90.00 degrees. The distinct sites, in fractional coordinates, are K at (0.000, 0.126, 0.000), K at (0.000, 0.127, 0.635), Mn at (0.000, 0.432, 0.763), Ag at (0.000, 0.226, 0.355), Cl at (0.000, 0.042, 0.353), Cl at (0.000, 0.299, 0.979), Cl at (0.000, 0.315, 0.697), Cl at (0.000, 0.362, 0.320) and Cl at (0.000, 0.493, 0.603).

The value obtained for the density of states at the Fermi level is 0.00 states/eV per atom. For the energy relative to the elements, uncorrected, the calculation gives -1328 meV/atom.



Compound: KMn2AgCl7
Source: Alexandria via LeMat-Bulk
Functional: PBE
Structure: relaxed

The space group is I-4m2 (No. 119) and the conventional cell measures 4.932, 4.932 and 23.222 Å, with angles of 90.00, 90.00 and 90.00 degrees. The distinct sites, in fractional coordinates, are K at (0.000, 0.000, 0.000), Mn at (0.000, 0.000, 0.392), Ag at (0.000, 0.500, 0.250), Cl at (0.000, 0.000, 0.291), Cl at (0.000, 0.000, 0.500), Cl at (0.000, 0.500, 0.102) and Cl at (0.000, 0.500, 0.600).

The value obtained for the density of states at the Fermi level is 0.13 states/eV per atom. For the energy relative to the elements, uncorrected, the calculation gives -1072 meV/atom.



Compound: KMnAgCl6
Source: Alexandria via LeMat-Bulk
Functional: PBE
Structure: relaxed

The space group is P312 (No. 149) and the conventional cell measures 6.7692, 6.7692 and 6.5703 Å, with angles of 90.00, 90.00 and 120.00 degrees. The distinct sites, in fractional coordinates, are K at (0.0000, 0.0000, 0.0000), Mn at (0.6667, 0.3333, 0.5000), Ag at (0.3333, 0.6667, 0.5000) and Cl at (0.3987, 0.0495, 0.7031).

For the energy relative to the elements, uncorrected, the calculation gives -1008 meV/atom.



Compound: K3Mn2AgCl8
Source: Alexandria via LeMat-Bulk
Functional: PBE
Structure: relaxed

The space group is P-3m1 (No. 164) and the conventional cell measures 7.3742, 7.3742 and 9.0180 Å, with angles of 90.00, 90.00 and 120.00 degrees. The distinct sites, in fractional coordinates, are K at (0.0000, 0.0000, 0.0000), K at (0.3333, 0.6667, 0.6085), Mn at (0.3333, 0.6667, 0.1942), Ag at (0.0000, 0.0000, 0.5000), Cl at (0.1670, 0.3340, 0.3092) and Cl at (0.3333, 0.6667, 0.9413).

The value obtained for the density of states at the Fermi level is 0.00 states/eV per atom. For the energy relative to the elements, uncorrected, the calculation gives -1354 meV/atom.



Compound: K3Mn2AgCl9
Source: Alexandria via LeMat-Bulk
Functional: PBE
Structure: relaxed

The space group is P-3m1 (No. 164) and the conventional cell measures 7.1332, 7.1332 and 8.8106 Å, with angles of 90.00, 90.00 and 120.00 degrees. The distinct sites, in fractional coordinates, are K at (0.0000, 0.0000, 0.0000), K at (0.3333, 0.6667, 0.6580), Mn at (0.3333, 0.6667, 0.1655), Ag at (0.0000, 0.0000, 0.5000), Cl at (0.0000, 0.5000, 0.0000) and Cl at (0.1728, 0.3455, 0.3194).

The value obtained for the density of states at the Fermi level is 0.12 states/eV per atom. For the energy relative to the elements, uncorrected, the calculation gives -1338 meV/atom.



Compound: K3MnAg2Cl8
Source: Alexandria via LeMat-Bulk
Functional: PBE
Structure: relaxed

The space group is P-3m1 (No. 164) and the conventional cell measures 7.0057, 7.0057 and 9.5054 Å, with angles of 90.00, 90.00 and 120.00 degrees. The distinct sites, in fractional coordinates, are K at (0.0000, 0.0000, 0.0000), K at (0.3333, 0.6667, 0.6149), Mn at (0.0000, 0.0000, 0.5000), Ag at (0.3333, 0.6667, 0.1827), Cl at (0.1599, 0.3198, 0.3496) and Cl at (0.3333, 0.6667, 0.9302).

The value obtained for the density of states at the Fermi level is 0.14 states/eV per atom. For the energy relative to the elements, uncorrected, the calculation gives -1213 meV/atom.



Compound: KMn3Ag4Cl12
Source: Alexandria via LeMat-Bulk
Functional: PBE
Structure: relaxed

The space group is R32 (No. 155, hexagonal axes) and the conventional cell measures 14.1521, 14.1521 and 9.3232 Å, with angles of 90.00, 90.00 and 120.00 degrees. The distinct sites, in fractional coordinates, are K at (0.0000, 0.0000, 0.0000), Mn at (0.0000, 0.5786, 0.0000), Ag at (0.0000, 0.0000, 0.5000), Ag at (0.0000, 0.4009, 0.5000), Cl at (0.0000, 0.5921, 0.5000), Cl at (0.0000, 0.8226, 0.5000) and Cl at (0.0752, 0.2196, 0.1963).

The value obtained for the density of states at the Fermi level is 0.54 states/eV per atom. For the energy relative to the elements, uncorrected, the calculation gives -866 meV/atom.



Compound: K2MnAg2Cl6
Source: Alexandria via LeMat-Bulk
Functional: PBE
Structure: relaxed

The space group is R-3m (No. 166, hexagonal axes) and the conventional cell measures 7.7308, 7.7308 and 18.9710 Å, with angles of 90.00, 90.00 and 120.00 degrees. The distinct sites, in fractional coordinates, are K at (0.0000, 0.0000, 0.2169), Mn at (0.0000, 0.0000, 0.0000), Ag at (0.0000, 0.0000, 0.4212) and Cl at (0.0378, 0.5189, 0.7498).

The value obtained for the density of states at the Fermi level is 0.00 states/eV per atom. For the energy relative to the elements, uncorrected, the calculation gives -1115 meV/atom.



Compound: KMnAgCl4
Source: Alexandria via LeMat-Bulk
Functional: PBE
Structure: relaxed

The space group is P2_1/m (No. 11) and the conventional cell measures 6.479, 7.372 and 8.547 Å, with angles of 90.00, 103.54 and 90.00 degrees. The distinct sites, in fractional coordinates, are K at (0.237, 0.250, 0.057), Mn at (0.241, 0.750, 0.322), Ag at (0.153, 0.250, 0.520), Cl at (0.016, 0.009, 0.719), Cl at (0.361, 0.750, 0.087) and Cl at (0.491, 0.750, 0.568).

The value obtained for the density of states at the Fermi level is 0.00 states/eV per atom. For the energy relative to the elements, uncorrected, the calculation gives -1141 meV/atom.



Compound: KAg2MoCl8
Source: Alexandria via LeMat-Bulk
Functional: PBE
Structure: relaxed

The space group is P-1 (No. 2) and the conventional cell measures 6.240, 7.151 and 9.048 Å, with angles of 112.47, 90.13 and 100.21 degrees. The distinct sites, in fractional coordinates, are K at (0.000, 0.000, 0.000), Ag at (0.470, 0.656, 0.187), Mo at (0.000, 0.000, 0.500), Cl at (0.075, 0.759, 0.245), Cl at (0.130, 0.808, 0.626), Cl at (0.353, 0.199, 0.526) and Cl at (0.475, 0.269, 0.066).

The value obtained for the density of states at the Fermi level is 0.64 states/eV per atom. For the energy relative to the elements, uncorrected, the calculation gives -861 meV/atom.



Compound: K3Na2AgCl6
Source: Alexandria via LeMat-Bulk
Functional: PBE
Structure: relaxed

The space group is C2/m (No. 12) and the conventional cell measures 7.289, 12.829 and 7.345 Å, with angles of 90.00, 108.71 and 90.00 degrees. The distinct sites, in fractional coordinates, are K at (0.000, 0.000, 0.000), K at (0.000, 0.335, 0.000), Na at (0.000, 0.169, 0.500), Ag at (0.000, 0.500, 0.500), Cl at (0.245, 0.333, 0.725) and Cl at (0.248, 0.000, 0.714).

The value obtained for the density of states at the Fermi level is 0.00 states/eV per atom. For the energy relative to the elements, uncorrected, the calculation gives -1630 meV/atom.



Compound: K3NaAg2Cl6
Source: Alexandria via LeMat-Bulk
Functional: PBE
Structure: relaxed

The space group is P-3m1 (No. 164) and the conventional cell measures 7.8828, 7.8828 and 7.9533 Å, with angles of 90.00, 90.00 and 120.00 degrees. The distinct sites, in fractional coordinates, are K at (0.0000, 0.0000, 0.0000), K at (0.3333, 0.6667, 0.6065), Na at (0.0000, 0.0000, 0.5000), Ag at (0.3333, 0.6667, 0.1893) and Cl at (0.1598, 0.3195, 0.2840).

The value obtained for the density of states at the Fermi level is 0.00 states/eV per atom. For the energy relative to the elements, uncorrected, the calculation gives -1294 meV/atom.



Compound: K3NaAg2Cl9
Source: Alexandria via LeMat-Bulk
Functional: PBE
Structure: relaxed

The space group is P-3m1 (No. 164) and the conventional cell measures 7.2746, 7.2746 and 8.9970 Å, with angles of 90.00, 90.00 and 120.00 degrees. The distinct sites, in fractional coordinates, are K at (0.0000, 0.0000, 0.0000), K at (0.3333, 0.6667, 0.6457), Na at (0.0000, 0.0000, 0.5000), Ag at (0.3333, 0.6667, 0.1597), Cl at (0.0000, 0.5000, 0.0000) and Cl at (0.1694, 0.3389, 0.3179).

The value obtained for the density of states at the Fermi level is 0.20 states/eV per atom. For the energy relative to the elements, uncorrected, the calculation gives -1137 meV/atom.